(1)
Entry from the Alexandria database: crystalline BeAgTe2 at its relaxed geometry (PBE).

Calculated values
The value obtained for the uncorrected energy is -11.57 eV per cell. The uncorrected formation energy is 324 meV/atom. The value obtained for the density of states at the Fermi level is 1.61 states/eV/f.u. The crystal system is monoclinic.

The structure in POSCAR format:
```
BeAgTe2
1.0
5.5282 0.0126 0.0226
-2.2423 4.5039 -0.0037
1.0435 2.1523 3.8524
Be Te Ag
1 2 1
Direct
0.5000 0.5000 0.0000
0.0000 0.0000 0.0000
0.5000 0.0000 0.5000
0.0000 0.5000 0.5000
```

(2)
Entry from the Alexandria database: crystalline BeAgTe2 at its relaxed geometry (PBE).

Calculated values
The value obtained for the uncorrected energy is -10.00 eV per cell. The uncorrected formation energy is 716 meV/atom. The value obtained for the density of states at the Fermi level is 2.11 states/eV/f.u. The crystal system is cubic.

The structure in POSCAR format:
```
BeAgTe2
1.0
5.0548 0.0000 0.0000
2.5274 4.3776 0.0000
2.5274 1.4592 4.1273
Be Te Ag
1 2 1
Direct
0.7500 0.7500 0.7500
0.0000 0.0000 0.0000
0.2500 0.2500 0.2500
0.5000 0.5000 0.5000
```

(3)
Entry from the Alexandria database: crystalline BeAgTe2 at its relaxed geometry (PBE).

Calculated values
The value obtained for the uncorrected energy is -10.93 eV per cell. The uncorrected formation energy is 482 meV/atom. The value obtained for the density of states at the Fermi level is 1.86 states/eV/f.u. The crystal system is tetragonal.

The structure in POSCAR format:
```
BeAgTe2
1.0
3.4259 0.0000 0.0000
0.0000 3.4259 0.0000
0.0000 0.0000 7.4023
Be Te Ag
1 2 1
Direct
0.5000 0.5000 0.7500
0.0000 0.0000 0.9621
0.0000 0.0000 0.5379
0.5000 0.5000 0.2500
```

(4)
Entry from the Alexandria database: crystalline BeAg3Te at its relaxed geometry (PBE).

Calculated values
The value obtained for the uncorrected energy is -10.62 eV per cell. The uncorrected formation energy is 961 meV/atom. Its relative energy among the computed polymorphs is 0.5799 eV per atom. The value obtained for the density of states at the Fermi level is 2.75 states/eV/f.u. The crystal system is cubic.

The structure in POSCAR format:
```
BeAg3Te
1.0
5.3617 0.0000 0.0000
0.0000 5.3617 0.0000
0.0000 0.0000 5.3617
Be Te Ag
1 1 3
Direct
0.5000 0.5000 0.5000
0.0000 0.0000 0.0000
0.0000 0.5000 0.0000
0.0000 0.0000 0.5000
0.5000 0.0000 0.0000
```

Please write out number 2 again, unchanged.
Entry from the Alexandria database: crystalline BeAgTe2 at its relaxed geometry (PBE).

Calculated values
The value obtained for the uncorrected energy is -10.00 eV per cell. The uncorrected formation energy is 716 meV/atom. The value obtained for the density of states at the Fermi level is 2.11 states/eV/f.u. The crystal system is cubic.

The structure in POSCAR format:
```
BeAgTe2
1.0
5.0548 0.0000 0.0000
2.5274 4.3776 0.0000
2.5274 1.4592 4.1273
Be Te Ag
1 2 1
Direct
0.7500 0.7500 0.7500
0.0000 0.0000 0.0000
0.2500 0.2500 0.2500
0.5000 0.5000 0.5000
```